Computed, not measured: a relaxed structure of B2W at the GGA-PBEsol level of DFT.

abc: 3.0118 3.0118 3.3217
angles: 90.00 90.00 120.00
Space group P6/mmm (No. 191)
Asymmetric unit:
B 0.3333 0.6667 0.0000 (multiplicity 2)
W 0.0000 0.0000 0.5000 (multiplicity 1)

## Properties
- Energy of formation: -0.14 eV per atom
- Magnetic moment: 0.00 μB per atom
- Density of states at the Fermi level: 0.46 states/eV per atom

=====

Computed, not measured: a relaxed structure of BW2 at the GGA-PBEsol level of DFT.

abc: 5.543 5.543 4.749
angles: 90.00 90.00 90.00
Space group I4/mcm (No. 140)
Asymmetric unit:
B 0.000 0.000 0.250 (multiplicity 4)
W 0.170 0.330 0.000 (multiplicity 8)

## Properties
- Energy of formation: -0.30 eV per atom
- Magnetic moment: 0.00 μB per atom
- Density of states at the Fermi level: 0.57 states/eV per atom

=====

Computed, not measured: a relaxed structure of Y3B7W at the GGA-PBEsol level of DFT.

abc: 3.434 15.872 9.429
angles: 90.00 90.00 90.00
Space group Cmcm (No. 63)
Asymmetric unit:
Y 0.000 0.107 0.060 (multiplicity 8)
Y 0.000 0.244 0.750 (multiplicity 4)
B 0.000 0.272 0.033 (multiplicity 8)
B 0.000 0.365 0.147 (multiplicity 8)
B 0.000 0.455 0.750 (multiplicity 4)
B 0.000 0.480 0.092 (multiplicity 8)
W 0.000 0.053 0.750 (multiplicity 4)

## Properties
- Energy of formation: -0.66 eV per atom
- Magnetic moment: 0.00 μB per atom
- Density of states at the Fermi level: 0.18 states/eV per atom

=====

Computed, not measured: a relaxed structure of YBW3 at the GGA-PBEsol level of DFT.

abc: 4.325 4.325 4.325
angles: 90.00 90.00 90.00
Space group Pm-3m (No. 221)
Asymmetric unit:
Y 0.000 0.000 0.000 (multiplicity 1)
B 0.500 0.500 0.500 (multiplicity 1)
W 0.000 0.500 0.500 (multiplicity 3)

## Properties
- Energy of formation: 0.39 eV per atom
- Magnetic moment: 0.00 μB per atom
- Density of states at the Fermi level: 0.75 states/eV per atom

=====

Computed, not measured: a relaxed structure of ZnB2W at the GGA-PBEsol level of DFT.

abc: 5.749 5.749 5.257
angles: 90.00 90.00 90.00
Space group I-42d (No. 122)
Asymmetric unit:
Zn 0.000 0.000 0.000 (multiplicity 4)
B 0.233 0.750 0.125 (multiplicity 8)
W 0.000 0.000 0.500 (multiplicity 4)

## Properties
- Energy of formation: 0.74 eV per atom
- Magnetic moment: 0.00 μB per atom
- Density of states at the Fermi level: 0.34 states/eV per atom

=====

Computed, not measured: a relaxed structure of Zr9BW4 at the GGA-PBEsol level of DFT.

abc: 8.5469 8.5469 8.5393
angles: 90.00 90.00 120.00
Space group P6_3/mmc (No. 194)
Asymmetric unit:
Zr 0.0793 0.5396 0.2500 (multiplicity 6)
Zr 0.2029 0.4058 0.5567 (multiplicity 12)
B 0.3333 0.6667 0.7500 (multiplicity 2)
W 0.0000 0.0000 0.0000 (multiplicity 2)
W 0.1101 0.2202 0.2500 (multiplicity 6)

## Properties
- Energy of formation: -0.11 eV per atom
- Magnetic moment: 0.00 μB per atom
- Density of states at the Fermi level: 0.80 states/eV per atom

=====

Computed, not measured: a relaxed structure of ZrB2W at the GGA-PBEsol level of DFT.

abc: 5.756 5.756 5.756
angles: 90.00 90.00 90.00
Space group Fm-3m (No. 225)
Asymmetric unit:
Zr 0.000 0.000 0.000 (multiplicity 4)
B 0.250 0.250 0.250 (multiplicity 8)
W 0.000 0.000 0.500 (multiplicity 4)

## Properties
- Energy of formation: 0.24 eV per atom
- Magnetic moment: 0.00 μB per atom
- Density of states at the Fermi level: 0.82 states/eV per atom

=====

Computed, not measured: a relaxed structure of YB4 at the GGA-PBEsol level of DFT.

abc: 7.065 7.065 3.991
angles: 90.00 90.00 90.00
Space group P4/mbm (No. 127)
Asymmetric unit:
Y 0.183 0.317 0.000 (multiplicity 4)
B 0.000 0.000 0.203 (multiplicity 4)
B 0.039 0.824 0.500 (multiplicity 8)
B 0.087 0.587 0.500 (multiplicity 4)

## Properties
- Energy of formation: -0.64 eV per atom
- Magnetic moment: 0.00 μB per atom
- Density of states at the Fermi level: 0.11 states/eV per atom

=====

Computed, not measured: a relaxed structure of YB12 at the GGA-PBEsol level of DFT.

abc: 7.460 7.460 7.460
angles: 90.00 90.00 90.00
Space group Fm-3m (No. 225)
Asymmetric unit:
Y 0.000 0.000 0.000 (multiplicity 4)
B 0.000 0.169 0.331 (multiplicity 48)

## Properties
- Energy of formation: -0.28 eV per atom
- Magnetic moment: 0.00 μB per atom
- Density of states at the Fermi level: 0.03 states/eV per atom

=====

Computed, not measured: a relaxed structure of YB6 at the GGA-PBEsol level of DFT.

abc: 4.078 4.078 4.078
angles: 90.00 90.00 90.00
Space group Pm-3m (No. 221)
Asymmetric unit:
Y 0.000 0.000 0.000 (multiplicity 1)
B 0.199 0.500 0.500 (multiplicity 6)

## Properties
- Energy of formation: -0.42 eV per atom
- Magnetic moment: 0.00 μB per atom
- Density of states at the Fermi level: 0.12 states/eV per atom

=====

Computed, not measured: a relaxed structure of YZrB2 at the GGA-PBEsol level of DFT.

abc: 4.770 4.770 13.689
angles: 90.00 90.00 90.00
Space group I-42d (No. 122)
Asymmetric unit:
Y 0.000 0.000 0.000 (multiplicity 4)
Zr 0.000 0.000 0.500 (multiplicity 4)
B 0.190 0.250 0.625 (multiplicity 8)

## Properties
- Energy of formation: 0.69 eV per atom
- Magnetic moment: 0.00 μB per atom
- Density of states at the Fermi level: 0.78 states/eV per atom

=====

Computed, not measured: a relaxed structure of ZrB12 at the GGA-PBEsol level of DFT.

abc: 7.370 7.370 7.370
angles: 90.00 90.00 90.00
Space group Fm-3m (No. 225)
Asymmetric unit:
Zr 0.000 0.000 0.000 (multiplicity 4)
B 0.000 0.170 0.330 (multiplicity 48)

## Properties
- Energy of formation: -0.25 eV per atom
- Magnetic moment: 0.00 μB per atom
- Density of states at the Fermi level: 0.09 states/eV per atom

=====

Computed, not measured: a relaxed structure of ZrB2 at the GGA-PBEsol level of DFT.

abc: 3.1579 3.1579 3.5034
angles: 90.00 90.00 120.00
Space group P6/mmm (No. 191)
Asymmetric unit:
Zr 0.0000 0.0000 0.0000 (multiplicity 1)
B 0.3333 0.6667 0.5000 (multiplicity 2)

## Properties
- Energy of formation: -1.09 eV per atom
- Magnetic moment: 0.00 μB per atom
- Density of states at the Fermi level: 0.08 states/eV per atom

=====

Computed, not measured: a relaxed structure of Ba at the GGA-PBEsol level of DFT.

abc: 4.884 4.884 4.884
angles: 90.00 90.00 90.00
Space group Im-3m (No. 229)
Asymmetric unit:
Ba 0.000 0.000 0.000 (multiplicity 2)

## Properties
- Energy of formation: 0.00 eV per atom
- Energy relative to the lowest polymorph listed for this composition: 0.000 eV per formula unit
- Magnetic moment: 0.00 μB per atom
- Density of states at the Fermi level: 1.39 states/eV per atom

=====

Computed, not measured: a relaxed structure of Ba at the GGA-PBEsol level of DFT.

abc: 6.156 6.156 6.156
angles: 90.00 90.00 90.00
Space group Fm-3m (No. 225)
Asymmetric unit:
Ba 0.000 0.000 0.000 (multiplicity 4)

## Properties
- Energy of formation: 0.02 eV per atom
- Energy relative to the lowest polymorph listed for this composition: 0.017 eV per formula unit
- Magnetic moment: 0.00 μB per atom
- Density of states at the Fermi level: 1.62 states/eV per atom

=====

Computed, not measured: a relaxed structure of Ba at the GGA-PBEsol level of DFT.

abc: 4.3382 4.3382 7.1001
angles: 90.00 90.00 120.00
Space group P6_3/mmc (No. 194)
Asymmetric unit:
Ba 0.3333 0.6667 0.2500 (multiplicity 2)

## Properties
- Energy of formation: 0.01 eV per atom
- Energy relative to the lowest polymorph listed for this composition: 0.011 eV per formula unit
- Magnetic moment: 0.00 μB per atom
- Density of states at the Fermi level: 1.57 states/eV per atom

=====

Computed, not measured: a relaxed structure of Ba at the GGA-PBEsol level of DFT.

abc: 6.3966 6.3966 6.5276
angles: 90.00 90.00 120.00
Space group P6_3/mmc (No. 194)
Asymmetric unit:
Ba 0.0000 0.0000 0.2500 (multiplicity 2)
Ba 0.3333 0.6667 0.2500 (multiplicity 2)

## Properties
- Energy of formation: 0.50 eV per atom
- Energy relative to the lowest polymorph listed for this composition: 0.501 eV per formula unit
- Magnetic moment: 0.00 μB per atom
- Density of states at the Fermi level: 1.52 states/eV per atom

=====

Computed, not measured: a relaxed structure of Ba at the GGA-PBEsol level of DFT.

abc: 4.173 7.729 14.452
angles: 90.00 90.00 90.00
Space group Fddd (No. 70, origin choice 2)
Asymmetric unit:
Ba 0.125 0.125 0.125 (multiplicity 8)

## Properties
- Energy of formation: 0.04 eV per atom
- Energy relative to the lowest polymorph listed for this composition: 0.040 eV per formula unit
- Magnetic moment: 0.00 μB per atom
- Density of states at the Fermi level: 1.62 states/eV per atom

=====

Computed, not measured: a relaxed structure of BaBe at the GGA-PBEsol level of DFT.

abc: 3.886 3.886 3.886
angles: 90.00 90.00 90.00
Space group Pm-3m (No. 221)
Asymmetric unit:
Ba 0.000 0.000 0.000 (multiplicity 1)
Be 0.500 0.500 0.500 (multiplicity 1)

## Properties
- Energy of formation: 0.61 eV per atom
- Energy relative to the lowest polymorph listed for this composition: 0.527 eV per formula unit
- Magnetic moment: 0.00 μB per atom
- Density of states at the Fermi level: 0.75 states/eV per atom

=====

Computed, not measured: a relaxed structure of Ba2Be3 at the GGA-PBEsol level of DFT.

abc: 3.8494 3.8494 9.5232
angles: 90.00 90.00 120.00
Space group P-3m1 (No. 164)
Asymmetric unit:
Ba 0.3333 0.6667 0.2056 (multiplicity 2)
Be 0.0000 0.0000 0.5000 (multiplicity 1)
Be 0.3333 0.6667 0.5234 (multiplicity 2)

## Properties
- Energy of formation: 0.20 eV per atom
- Magnetic moment: 0.00 μB per atom
- Density of states at the Fermi level: 0.83 states/eV per atom

=====

Computed, not measured: a relaxed structure of BaBe at the GGA-PBEsol level of DFT.

abc: 5.4902 5.4902 4.2507
angles: 90.00 90.00 120.00
Space group P6_3/mmc (No. 194)
Asymmetric unit:
Ba 0.3333 0.6667 0.2500 (multiplicity 2)
Be 0.0000 0.0000 0.2500 (multiplicity 2)

## Properties
- Energy of formation: 0.35 eV per atom
- Energy relative to the lowest polymorph listed for this composition: 0.000 eV per formula unit
- Magnetic moment: 0.00 μB per atom
- Density of states at the Fermi level: 1.14 states/eV per atom

=====

Computed, not measured: a relaxed structure of BaBe2 at the GGA-PBEsol level of DFT.

abc: 12.078 3.823 6.285
angles: 90.00 113.12 90.00
Space group C2/m (No. 12)
Asymmetric unit:
Ba 0.165 0.000 0.178 (multiplicity 4)
Be 0.026 0.500 0.672 (multiplicity 4)
Be 0.084 0.000 0.614 (multiplicity 4)

## Properties
- Energy of formation: 0.41 eV per atom
- Magnetic moment: 0.00 μB per atom
- Density of states at the Fermi level: 0.57 states/eV per atom

=====

Computed, not measured: a relaxed structure of BaBe at the GGA-PBEsol level of DFT.

abc: 4.2174 4.2174 10.1856
angles: 90.00 90.00 120.00
Space group P6_3mc (No. 186)
Asymmetric unit:
Ba 0.3333 0.6667 0.0000 (multiplicity 2)
Be 0.3333 0.6667 0.6874 (multiplicity 2)

## Properties
- Energy of formation: 1.14 eV per atom
- Energy relative to the lowest polymorph listed for this composition: 1.592 eV per formula unit
- Magnetic moment: 0.00 μB per atom
- Density of states at the Fermi level: 0.31 states/eV per atom

=====

Computed, not measured: a relaxed structure of BaBe5 at the GGA-PBEsol level of DFT.

abc: 5.0986 5.0986 3.7308
angles: 90.00 90.00 120.00
Space group P6/mmm (No. 191)
Asymmetric unit:
Ba 0.0000 0.0000 0.0000 (multiplicity 1)
Be 0.0000 0.5000 0.5000 (multiplicity 3)
Be 0.3333 0.6667 0.0000 (multiplicity 2)

## Properties
- Energy of formation: 0.45 eV per atom
- Magnetic moment: 0.00 μB per atom
- Density of states at the Fermi level: 0.37 states/eV per atom

=====

Computed, not measured: a relaxed structure of Ba3Be at the GGA-PBEsol level of DFT.

abc: 12.012 14.865 4.204
angles: 90.00 90.00 90.00
Space group Cmcm (No. 63)
Asymmetric unit:
Ba 0.000 0.122 0.250 (multiplicity 4)
Ba 0.179 0.376 0.250 (multiplicity 8)
Be 0.000 0.478 0.750 (multiplicity 4)

## Properties
- Energy of formation: 0.26 eV per atom
- Magnetic moment: 0.00 μB per atom
- Density of states at the Fermi level: 1.25 states/eV per atom